Entry from Alexandria: a geometry-optimized Dy5InPt2 structure (GGA-PBE).

a b c (Å): 8.719 8.719 8.719
angles (deg): 126.36 126.36 79.30
Fractional coordinates of all 16 atoms:
Dy  0.000  0.000  0.000
Dy  0.022  0.522  0.819
Dy  0.203  0.022  0.500
Dy  0.297  0.797  0.819
Dy  0.478  0.297  0.500
Dy  0.500  0.500  0.000
Dy  0.522  0.703  0.500
Dy  0.703  0.203  0.181
Dy  0.797  0.978  0.500
Dy  0.978  0.478  0.181
In  0.250  0.250  0.000
In  0.750  0.750  0.000
Pt  0.136  0.364  0.500
Pt  0.364  0.864  0.227
Pt  0.636  0.136  0.773
Pt  0.864  0.636  0.500

Computed properties:
Fermi-level density of states: 1.2306 states/eV/atom
E: -5.550 eV per atom
Symmetry: I4/mcm
Crystal system: tetragonal
Calculated formation energy: -0.821 eV per atom

---

Entry from Alexandria: a geometry-optimized Ga3PbSe structure (GGA-PBE).

a b c (Å): 5.477 5.477 5.477
angles (deg): 90.00 90.00 90.00
Fractional coordinates of all 5 atoms:
Ga  0.000  0.000  0.500
Ga  0.000  0.500  0.000
Ga  0.500  0.000  0.000
Pb  0.000  0.000  0.000
Se  0.500  0.500  0.500

Computed properties:
Fermi-level density of states: 0.6333 states/eV/atom
E: -2.723 eV per atom
Symmetry: Pm-3m
E_form (uncorrected): 0.532 eV per atom
Crystal system: cubic
Excess energy over the best structure of this formula in the dataset: 190 meV/atom

---

Entry from Alexandria: a geometry-optimized Be2TeP structure (GGA-PBE).

a b c (Å): 4.357 3.417 4.680
angles (deg): 90.00 99.99 90.00
Fractional coordinates of all 4 atoms:
Be  0.106  0.000  0.245
Be  0.894  0.000  0.755
Te  0.500  0.500  0.000
P  0.000  0.500  0.500

Computed properties:
Fermi-level density of states: 0.2886 states/eV/atom
E: -3.646 eV per atom
Symmetry: P2/m
E_form (uncorrected): 0.355 eV per atom
Crystal system: monoclinic
Excess energy over the best structure of this formula in the dataset: 485 meV/atom

---

Entry from Alexandria: a geometry-optimized AcLa2ScS4 structure (GGA-PBE).

a b c (Å): 7.082 4.057 7.163
angles (deg): 90.00 108.82 90.00
Fractional coordinates of all 8 atoms:
Ac  0.000  0.000  0.000
La  0.500  0.000  0.500
La  0.500  0.500  0.000
Sc  0.000  0.500  0.500
S  0.228  0.000  0.722
S  0.243  0.500  0.271
S  0.757  0.500  0.729
S  0.772  0.000  0.278

Computed properties:
Fermi-level density of states: 0.6325 states/eV/atom
E: -6.576 eV per atom
Symmetry: P2/m
E_form (uncorrected): -1.975 eV per atom
Crystal system: monoclinic

---

Entry from Alexandria: a geometry-optimized BaNaHg14 structure (GGA-PBE).

a b c (Å): 9.901 9.901 10.995
angles (deg): 109.54 109.54 91.73
Fractional coordinates of all 32 atoms:
Ba  0.196  0.196  0.227
Ba  0.804  0.804  0.773
Na  0.000  0.000  0.500
Na  0.500  0.500  0.000
Hg  0.035  0.708  0.584
Hg  0.038  0.817  0.117
Hg  0.103  0.313  0.731
Hg  0.131  0.636  0.870
Hg  0.183  0.962  0.883
Hg  0.190  0.572  0.367
Hg  0.218  0.467  0.077
Hg  0.292  0.965  0.416
Hg  0.300  0.514  0.655
Hg  0.313  0.103  0.731
Hg  0.364  0.869  0.130
Hg  0.428  0.810  0.633
Hg  0.467  0.218  0.077
Hg  0.486  0.700  0.345
Hg  0.514  0.300  0.655
Hg  0.533  0.782  0.923
Hg  0.572  0.190  0.367
Hg  0.636  0.131  0.870
Hg  0.687  0.897  0.269
Hg  0.700  0.486  0.345
Hg  0.708  0.035  0.584
Hg  0.782  0.533  0.923
Hg  0.810  0.428  0.633
Hg  0.817  0.038  0.117
Hg  0.869  0.364  0.130
Hg  0.897  0.687  0.269
Hg  0.962  0.183  0.883
Hg  0.965  0.292  0.416

Computed properties:
Fermi-level density of states: 0.2694 states/eV/atom
E: -0.609 eV per atom
Symmetry: C2/m
Crystal system: monoclinic
Calculated formation energy: -0.142 eV per atom

---

Entry from Alexandria: a geometry-optimized MgTeSCl2 structure (GGA-PBE).

a b c (Å): 5.319 5.319 5.251
angles (deg): 90.00 90.00 90.00
Fractional coordinates of all 5 atoms:
Mg  0.000  0.000  0.000
Te  0.500  0.500  0.500
S  0.500  0.500  0.000
Cl  0.000  0.500  0.500
Cl  0.500  0.000  0.500

Computed properties:
Fermi-level density of states: 0.3986 states/eV/atom
E: -2.578 eV per atom
Symmetry: P4/mmm
E_form (uncorrected): -0.066 eV per atom
Crystal system: tetragonal
Excess energy over the best structure of this formula in the dataset: 446 meV/atom